[1]
The following is a GGA-PBE calculation of a relaxed structure of Nd4NiCCl2, from the Alexandria database.

```
Nd4NiCCl2
1.0
7.0783 0.0000 0.0000
0.0000 3.8147 0.0000
-2.2696 0.0000 7.1274
Nd Ni C Cl
4 1 1 2
Direct
0.2099 0.0000 0.1997
0.2575 0.5000 0.8007
0.7425 0.5000 0.1993
0.7901 0.0000 0.8003
0.5000 0.0000 0.0000
0.0000 0.5000 0.0000
0.0000 0.0000 0.5000
0.5000 0.5000 0.5000
```

As for the space-group type: P2/m (10). The volume comes out at 24.06 A^3/atom. Its uncorrected energy is -5.61 eV per atom. As for the density: 6.200 g/cm3.


[2]
The following is a GGA-PBE calculation of a relaxed structure of La2Ni2Te, from the Alexandria database.

```
La2Ni2Te
1.0
-1.9257 1.9257 8.1917
1.9257 -1.9257 8.1917
1.9257 1.9257 -8.1917
La Ni Te
2 2 1
Direct
0.1250 0.1250 0.0000
0.8750 0.8750 0.0000
0.2500 0.7500 0.5000
0.7500 0.2500 0.5000
0.5000 0.5000 0.0000
```

As for the space-group type: I4/mmm (139). The volume comes out at 24.30 A^3/atom. Its uncorrected energy is -5.53 eV per atom. As for the density: 7.145 g/cm3. The calculation puts the distance to the lowest polymorph of the same formula at 89 meV per atom.


no.,formation energy (no corrections) (meV per atom)
1,-892
2,-618